A relaxed structure of LiPbW2, computed with PBE.

Output
Spin magnetization ... 0.0 μB per formula unit
Calculated formation energy ... 345 kJ/mol of formula units
Fermi-level density of states ... 2.14 states/eV per cell
Crystal system ... orthorhombic
VASP energy ... -28.0 eV per cell

a b c (Å): 5.431 5.431 2.820
angles (deg): 90.00 90.00 120.66
Fractional positions:
1 Li 0.000 0.000 0.000
2 Pb 0.500 0.500 0.000
3 W 0.000 0.500 0.500
4 W 0.500 0.000 0.500